(1)
Hf6HO (GGA-PBE, optimized geometry); SG = P-31c, No. 163; energy = -9.250 eV/atom; ρ = 13.0 g cm⁻³
1.0
5.580 0.000 0.000
-2.790 4.832 0.000
0.000 0.000 10.278
H Hf O
2 12 2
Cartesian
0.000 0.000 0.000 H
0.000 0.000 5.139 H
3.695 0.013 9.027 Hf
1.859 3.193 6.390 Hf
1.836 3.207 1.251 Hf
0.954 1.626 9.027 Hf
0.931 1.639 3.888 Hf
4.626 1.626 6.390 Hf
0.905 4.819 3.888 Hf
3.721 3.193 9.027 Hf
-0.905 4.819 1.251 Hf
1.885 0.013 6.390 Hf
-0.931 1.639 1.251 Hf
-1.836 3.207 3.888 Hf
0.000 3.222 2.569 O
2.790 1.611 7.708 O

***

(2)
CaFe2Tc (GGA-PBE, optimized geometry); E above lowest polymorph = 0.2837 eV/atom; SG = Fm-3m, No. 225; ρ = 6.8 g cm⁻³
1.0
-3.847 -0.305 -2.168
-3.249 2.887 0.840
-1.087 3.050 -3.019
Fe Ca Tc
2 1 1
Cartesian
-6.138 4.224 -3.260 Fe
-2.046 1.408 -1.087 Fe
0.000 0.000 0.000 Ca
-4.092 2.816 -2.173 Tc